Record 1
! Sc2Ga9Co3, optimized geometry, DFT PBE-GGA; values from VASP
! calculated total energy: -135.3 eV for the cell shown
! space group: C2/c
! Fermi-level density of states: 15.06 states/eV/cell
&SYSTEM
  ibrav = 0, nat = 28, ntyp = 3
/
ATOMIC_SPECIES
Sc 44.96 Sc.upf
Ga 69.72 Ga.upf
Co 58.93 Co.upf
ATOMIC_POSITIONS crystal
Sc 0.0846 0.2512 0.2506
Sc 0.2512 0.0846 0.7506
Sc 0.7488 0.9154 0.2494
Sc 0.9154 0.7488 0.7494
Ga 0.0203 0.8624 0.0746
Ga 0.1376 0.9797 0.4254
Ga 0.1879 0.3585 0.5749
Ga 0.1973 0.5822 0.2510
Ga 0.3081 0.4795 0.9364
Ga 0.3585 0.1879 0.0749
Ga 0.3615 0.6385 0.7500
Ga 0.4178 0.8027 0.2490
Ga 0.4795 0.3081 0.4364
Ga 0.5205 0.6919 0.5636
Ga 0.5822 0.1973 0.7510
Ga 0.6385 0.3615 0.2500
Ga 0.6415 0.8121 0.9251
Ga 0.6919 0.5205 0.0636
Ga 0.8027 0.4178 0.7490
Ga 0.8121 0.6415 0.4251
Ga 0.8624 0.0203 0.5746
Ga 0.9797 0.1376 0.9254
Co 0.0000 0.5000 0.0000
Co 0.1586 0.6705 0.4995
Co 0.3295 0.8414 0.0005
Co 0.5000 0.0000 0.5000
Co 0.6705 0.1586 0.9995
Co 0.8414 0.3295 0.5005
CELL_PARAMETERS angstrom
6.2886 -3.6270 0.0000
6.2886 3.6270 0.0000
-4.1969 0.0000 9.2203

=====

Record 2
! V4Fe2Pt, optimized geometry, DFT PBE-GGA; values from VASP
! calculated total energy: -52.4 eV for the cell shown
! space group: I4/mmm
! Fermi-level density of states: 11.68 states/eV/cell
&SYSTEM
  ibrav = 0, nat = 7, ntyp = 3
/
ATOMIC_SPECIES
V 50.94 V.upf
Fe 55.84 Fe.upf
Pt 195.08 Pt.upf
ATOMIC_POSITIONS crystal
V 0.0000 0.5000 0.5000
V 0.2145 0.2145 0.0000
V 0.5000 0.0000 0.5000
V 0.7855 0.7855 0.0000
Fe 0.3957 0.3957 0.0000
Fe 0.6043 0.6043 0.0000
Pt 0.0000 0.0000 0.0000
CELL_PARAMETERS angstrom
-2.3122 2.3122 5.8564
2.3122 -2.3122 5.8564
2.3122 2.3122 -5.8564